Compound: Ca2MoCl
Source: the Alexandria database
Functional: GGA-PBE
Structure: relaxed

Results
Electronic total energy in eV/atom: -3.80
Distance to the lowest polymorph of the same formula in eV per atom: 0.625
Crystal system: cubic
Uncorrected formation energy in meV per atom: 372

a b c (Å): 7.618 7.618 7.618
angles (deg): 90.00 90.00 90.00
Space group Fm-3m (No. 225)
Asymmetric unit:
Ca  0.250  0.250  0.250 [8 per cell]
Mo  0.000  0.000  0.000 [4 per cell]
Cl  0.000  0.000  0.500 [4 per cell]

=====

Compound: Ca2MoCl
Source: the Alexandria database
Functional: GGA-PBE
Structure: relaxed

Results
Electronic total energy in eV/atom: -3.54
Distance to the lowest polymorph of the same formula in eV per atom: 0.881
Crystal system: cubic
Uncorrected formation energy in meV per atom: 628

a b c (Å): 7.492 7.492 7.492
angles (deg): 90.00 90.00 90.00
Space group F-43m (No. 216)
Asymmetric unit:
Ca  0.000  0.000  0.000 [4 per cell]
Ca  0.250  0.250  0.250 [4 per cell]
Mo  0.250  0.250  0.750 [4 per cell]
Cl  0.000  0.000  0.500 [4 per cell]

=====

Which formula does entry 2 have?
Ca2MoCl